[1]
Material: ScSiPt2
Method: DFT, PBE
State: relaxed

Calculated values
ΔE_f (raw): -0.84 eV/atom
Space-group type: P4mm (99)
Calculated volume: 66.8 Å³/f.u.

Cell lengths 3.4832, 3.4813, 5.5096 Å; angles 90.00, 90.00, 90.00 degrees
Fractional positions:
Pt: 0.0000 0.0000 0.9460
Pt: 0.5000 0.5000 0.2693
Sc: 0.0000 0.0000 0.4723
Si: 0.5000 0.5000 0.8125

[2]
Material: LaZnAg3
Method: DFT, PBE
State: relaxed

Calculated values
E above lowest polymorph: 0.059 eV/atom
Space-group type: Cmcm (63)
Energy of formation: -0.14 eV/atom
Calculated volume: 109.4 Å³/f.u.

Cell lengths 4.8386, 5.9277, 8.0030 Å; angles 90.00, 107.56, 90.00 degrees
Fractional positions:
La: 0.5877 0.2500 0.6757
La: 0.4123 0.7500 0.3243
Zn: 0.9507 0.2500 0.4015
Zn: 0.0493 0.7500 0.5985
Ag: 0.8010 0.0007 0.1014
Ag: 0.1990 0.9993 0.8986
Ag: 0.8010 0.4993 0.1014
Ag: 0.1990 0.5007 0.8986
Ag: 0.3610 0.2500 0.2220
Ag: 0.6390 0.7500 0.7780

[3]
Material: LiCa2PmTe4
Method: DFT, PBE
State: relaxed

Calculated values
ΔE_f (raw): -1.45 eV/atom
Space-group type: P2/m (10)
Calculated volume: 252.8 Å³/f.u.

Cell lengths 4.4941, 7.6987, 7.7244 Å; angles 108.95, 90.00, 90.00 degrees
Fractional positions:
Li: 0.5000 0.5000 0.0000
Ca: 0.5000 0.0000 0.5000
Ca: 0.0000 0.5000 0.5000
Pm: 0.0000 0.0000 0.0000
Te: 0.5000 0.2535 0.2432
Te: 0.5000 0.7465 0.7568
Te: 0.0000 0.2538 0.7561
Te: 0.0000 0.7462 0.2439

[4]
Material: Ba3CdP
Method: DFT, PBE
State: relaxed

Calculated values
E above lowest polymorph: 0.000 eV/atom
Space-group type: P-1 (2)
Energy of formation: -0.58 eV/atom
Calculated volume: 228.9 Å³/f.u.

Cell lengths 4.6200, 8.6073, 12.4952 Å; angles 106.31, 90.02, 105.57 degrees
Fractional positions:
Ba: 0.0704 0.9848 0.7204
Ba: 0.3432 0.5309 0.5181
Ba: 0.5715 0.9870 0.4077
Ba: 0.0855 0.0149 0.0955
Ba: 0.8572 0.5588 0.2060
Ba: 0.3583 0.5610 0.8933
Cd: 0.6879 0.2190 0.9246
Cd: 0.7409 0.3268 0.6890
P: 0.9595 0.7631 0.4681
P: 0.4692 0.7827 0.1455